Entry 1:
## NaCd2Ge (PBE-GGA)

Data for an optimized crystal structure of NaCd2Ge.

Cell and atoms, written as POSCAR:
```
NaCd2Ge
1.0
-0.156 4.490 -1.386
-3.190 2.920 1.844
2.196 3.735 3.879
Na Cd Ge
1 2 1
Direct
0.488 0.488 0.536 Na
0.061 0.061 0.816 Cd
0.267 0.267 0.200 Cd
0.684 0.684 0.949 Ge
```

Values from the calculation:
- DOS at the Fermi energy: 1.701 states/eV per cell
- Space-group type: R3m
- Uncorrected energy: -1.947 eV per atom

Entry 2:
## LiCoSi (PBE-GGA)

Data for an optimized crystal structure of LiCoSi.

Cell and atoms, written as POSCAR:
```
LiCoSi
1.0
-0.053 2.513 0.923
-1.902 -0.848 -1.684
-3.401 -1.819 4.757
Co Li Si
1 1 1
Direct
0.000 0.000 0.976 Co
0.333 0.667 0.331 Li
0.667 0.333 0.693 Si
```

Values from the calculation:
- Formation energy from raw total energies: -0.020 eV per formula unit
- DOS at the Fermi energy: 2.402 states/eV per cell
- Space-group type: P3m1

Entry 3:
## Ce3Zr2UP6 (PBE-GGA)

Data for an optimized crystal structure of Ce3Zr2UP6.

Cell and atoms, written as POSCAR:
```
Ce3Zr2UP6
1.0
-2.936 -0.614 -2.533
-1.523 -6.959 3.451
-3.440 5.869 5.607
Ce Zr U P
3 2 1 6
Direct
0.500 0.500 0.000 Ce
0.834 0.168 0.668 Ce
0.166 0.832 0.332 Ce
0.831 0.662 0.662 Zr
0.169 0.338 0.338 Zr
0.500 0.000 0.000 U
0.335 0.903 0.670 P
0.671 0.573 0.342 P
0.665 0.097 0.330 P
0.006 0.246 0.013 P
0.994 0.754 0.987 P
0.329 0.427 0.658 P
```

Values from the calculation:
- DOS at the Fermi energy: 16.506 states/eV per cell
- Space-group type: C2/m
- Uncorrected energy: -7.937 eV per atom

Entry 4:
## HfCrCd2P (PBE-GGA)

Data for an optimized crystal structure of HfCrCd2P.

Cell and atoms, written as POSCAR:
```
HfCrCd2P
1.0
4.963 0.000 0.000
0.000 4.854 0.000
0.000 0.000 4.963
Cr Hf P Cd
1 1 1 2
Direct
0.500 0.500 0.500 Cr
0.000 0.500 0.000 Hf
0.000 0.000 0.000 P
0.000 0.000 0.500 Cd
0.500 0.000 0.000 Cd
```

Values from the calculation:
- DOS at the Fermi energy: 2.611 states/eV per cell
- Space-group type: P4/mmm
- Uncorrected energy: -4.757 eV per atom

Entry 5:
## MnBeSe2 (PBE-GGA)

Data for an optimized crystal structure of MnBeSe2.

Cell and atoms, written as POSCAR:
```
MnBeSe2
1.0
-5.910 -0.004 -4.320
6.046 -5.494 -0.447
-1.840 -2.228 2.516
Be Mn Se
2 2 4
Direct
0.155 0.793 0.659 Be
0.139 0.547 0.159 Be
0.193 0.060 0.158 Mn
0.100 0.279 0.658 Mn
0.915 0.458 0.659 Se
0.371 0.440 0.158 Se
0.922 0.899 0.658 Se
0.379 0.881 0.158 Se
```

Values from the calculation:
- Formation energy from raw total energies: -1.743 eV per formula unit
- DOS at the Fermi energy: 2.813 states/eV per cell
- Space-group type: P2_1/m

Entry 6:
## Li2Sm3Cd6 (PBE-GGA)

Data for an optimized crystal structure of Li2Sm3Cd6.

Cell and atoms, written as POSCAR:
```
Li2Sm3Cd6
1.0
4.622 0.000 0.000
0.000 4.622 0.000
-2.311 -2.311 12.693
Li Sm Cd
2 3 6
Direct
0.452 0.452 0.904 Li
0.548 0.548 0.096 Li
0.000 0.000 0.000 Sm
0.799 0.799 0.598 Sm
0.201 0.201 0.402 Sm
0.100 0.600 0.200 Cd
0.600 0.100 0.200 Cd
0.900 0.400 0.800 Cd
0.400 0.900 0.800 Cd
0.675 0.675 0.350 Cd
0.325 0.325 0.650 Cd
```

Values from the calculation:
- DOS at the Fermi energy: 10.987 states/eV per cell
- Space-group type: I4/mmm
- Uncorrected energy: -2.318 eV per atom

Entry 7:
## NdThInAu (PBE-GGA)

Data for an optimized crystal structure of NdThInAu.

Cell and atoms, written as POSCAR:
```
NdThInAu
1.0
5.389 0.000 0.000
2.694 4.667 0.000
2.694 1.556 4.400
Nd Au Th In
1 1 1 1
Direct
0.250 0.250 0.250 Nd
0.500 0.500 0.500 Au
0.750 0.750 0.750 Th
0.000 0.000 0.000 In
```

Values from the calculation:
- DOS at the Fermi energy: 3.894 states/eV per cell
- Space-group type: F-43m
- Uncorrected energy: -4.977 eV per atom

Entry 8:
## K6RbI8 (PBE-GGA)

Data for an optimized crystal structure of K6RbI8.

Cell and atoms, written as POSCAR:
```
K6RbI8
1.0
5.509 0.000 0.000
0.000 10.723 -6.191
0.000 0.000 12.382
K Rb I
6 1 8
Direct
0.753 0.649 0.121 K
0.753 0.879 0.528 K
0.753 0.472 0.351 K
0.247 0.351 0.879 K
0.247 0.121 0.472 K
0.247 0.528 0.649 K
0.500 0.000 0.000 Rb
0.745 0.970 0.290 I
0.745 0.710 0.680 I
0.745 0.320 0.030 I
0.255 0.030 0.710 I
0.255 0.290 0.320 I
0.255 0.680 0.970 I
0.749 0.333 0.667 I
0.251 0.667 0.333 I
```

Values from the calculation:
- Formation energy from raw total energies: -18.907 eV per formula unit
- DOS at the Fermi energy: 29.506 states/eV per cell
- Space-group type: P-3

Entry 9:
## TiAsO2F (PBE-GGA)

Data for an optimized crystal structure of TiAsO2F.

Cell and atoms, written as POSCAR:
```
TiAsO2F
1.0
3.925 0.000 0.000
0.000 3.925 0.000
0.000 0.000 4.002
As F O Ti
1 1 2 1
Direct
0.500 0.500 0.500 As
0.000 0.000 0.500 F
0.000 0.500 0.000 O
0.500 0.000 0.000 O
0.000 0.000 0.000 Ti
```

Values from the calculation:
- Formation energy from raw total energies: -8.157 eV per formula unit
- DOS at the Fermi energy: 3.287 states/eV per cell
- Space-group type: P4/mmm

Entry 10:
## PtNClF2 (PBE-GGA)

Data for an optimized crystal structure of PtNClF2.

Cell and atoms, written as POSCAR:
```
PtNClF2
1.0
-3.847 2.919 0.433
-1.282 -1.012 -4.565
-1.783 -2.507 1.057
N F Pt Cl
1 2 1 1
Direct
0.000 0.000 0.500 N
0.000 0.500 0.000 F
0.500 0.000 0.000 F
0.500 0.500 0.500 Pt
0.000 0.000 0.000 Cl
```

Values from the calculation:
- Formation energy from raw total energies: 5.823 eV per formula unit
- DOS at the Fermi energy: 6.791 states/eV per cell
- Energy above the most stable polymorph in this dataset: 470 kJ/mol of formula units
- Space-group type: P4/mmm

Entry 11:
## Dy2HoPuS4 (PBE-GGA)

Data for an optimized crystal structure of Dy2HoPuS4.

Cell and atoms, written as POSCAR:
```
Dy2HoPuS4
1.0
-0.252 2.346 -3.104
-6.632 -1.335 -0.471
0.913 5.395 4.004
Dy Ho Pu S
2 1 1 4
Direct
0.500 0.000 0.500 Dy
0.000 0.500 0.500 Dy
0.000 0.000 0.000 Ho
0.500 0.500 0.000 Pu
0.500 0.247 0.250 S
0.500 0.753 0.750 S
0.000 0.247 0.748 S
0.000 0.753 0.252 S
```

Values from the calculation:
- Formation energy from raw total energies: -15.648 eV per formula unit
- DOS at the Fermi energy: 7.485 states/eV per cell
- Space-group type: P2/m

Entry 12:
## CaPm5Pb8 (PBE-GGA)

Data for an optimized crystal structure of CaPm5Pb8.

Cell and atoms, written as POSCAR:
```
CaPm5Pb8
1.0
-2.170 -8.019 0.154
4.363 1.688 6.866
-6.678 4.940 -0.167
Ca Pm Pb
1 5 8
Direct
0.250 0.500 0.750 Ca
0.996 0.399 0.156 Pm
0.844 0.840 0.243 Pm
0.757 0.601 0.597 Pm
0.500 0.000 0.500 Pm
0.403 0.160 0.004 Pm
0.126 0.774 0.039 Pb
0.961 0.087 0.734 Pb
0.787 0.219 0.371 Pb
0.629 0.416 0.848 Pb
0.432 0.584 0.213 Pb
0.647 0.913 0.874 Pb
0.266 0.226 0.353 Pb
0.152 0.781 0.568 Pb
```

Values from the calculation:
- DOS at the Fermi energy: 9.839 states/eV per cell
- Space-group type: I-4
- Uncorrected energy: -4.343 eV per atom

Entry 13:
## NaCoPS2 (PBE-GGA)

Data for an optimized crystal structure of NaCoPS2.

Cell and atoms, written as POSCAR:
```
NaCoPS2
1.0
-3.815 2.922 -0.467
-0.119 -0.912 -4.740
-2.909 -3.674 0.779
P S Co Na
1 2 1 1
Direct
0.000 0.000 0.500 P
0.000 0.500 0.000 S
0.500 0.000 0.000 S
0.500 0.500 0.500 Co
0.000 0.000 0.000 Na
```

Values from the calculation:
- Formation energy from raw total energies: 7.552 eV per formula unit
- DOS at the Fermi energy: 6.623 states/eV per cell
- Energy above the most stable polymorph in this dataset: 712 kJ/mol of formula units
- Space-group type: P4/mmm